[1]
First-principles (GGA-PBE) data for Be2CoPb after structural relaxation, as listed in the Open Quantum Materials Database.

For the total energy, the calculation gives -63.1 eV for the cell shown. The value obtained for the magnetization is 0.00 μB/f.u.

It has space group F-43m (No. 216), with a = 5.9580 Å, b = 5.9580 Å, c = 5.9580 Å, α = 90.00°, β = 90.00° and γ = 90.00°. Symmetry generates all atoms from Be at (0.0000, 0.0000, 0.0000), Be at (0.2500, 0.2500, 0.2500), Co at (0.2500, 0.2500, 0.7500) and Pb at (0.0000, 0.0000, 0.5000).

[2]
First-principles (GGA-PBE) data for BeCoPb2 after structural relaxation, as listed in the Open Quantum Materials Database.

For the total energy, the calculation gives -57.6 eV for the cell shown. The value obtained for the magnetization is 1.18 μB/f.u.

It has space group F-43m (No. 216), with a = 6.8542 Å, b = 6.8542 Å, c = 6.8542 Å, α = 90.00°, β = 90.00° and γ = 90.00°. Symmetry generates all atoms from Be at (0.0000, 0.0000, 0.0000), Co at (0.2500, 0.2500, 0.2500), Pb at (0.0000, 0.0000, 0.5000) and Pb at (0.2500, 0.2500, 0.7500).

[3]
First-principles (GGA-PBE) data for BeCoRePb after structural relaxation, as listed in the Open Quantum Materials Database.

The energy relative to the lowest polymorph listed for this composition comes out at 25.1 meV/atom. The value obtained for the magnetization is 0.63 μB/f.u.

It has space group F-43m (No. 216), with a = 6.1637 Å, b = 6.1637 Å, c = 6.1637 Å, α = 90.00°, β = 90.00° and γ = 90.00°. Symmetry generates all atoms from Be at (0.0000, 0.0000, 0.0000), Co at (0.2500, 0.2500, 0.7500), Re at (0.2500, 0.2500, 0.2500) and Pb at (0.0000, 0.0000, 0.5000).

[4]
First-principles (GGA-PBE) data for BeCoRePb after structural relaxation, as listed in the Open Quantum Materials Database.

The energy relative to the lowest polymorph listed for this composition comes out at 0.0 meV/atom. The value obtained for the magnetization is 1.79 μB/f.u.

It has space group F-43m (No. 216), with a = 6.1154 Å, b = 6.1154 Å, c = 6.1154 Å, α = 90.00°, β = 90.00° and γ = 90.00°. Symmetry generates all atoms from Be at (0.0000, 0.0000, 0.0000), Co at (0.0000, 0.0000, 0.5000), Re at (0.2500, 0.2500, 0.7500) and Pb at (0.2500, 0.2500, 0.2500).

[5]
First-principles (GGA-PBE) data for ScBeCoPb after structural relaxation, as listed in the Open Quantum Materials Database.

The energy relative to the lowest polymorph listed for this composition comes out at 0.0 meV/atom. The value obtained for the magnetization is 0.00 μB/f.u.

It has space group F-43m (No. 216), with a = 6.2994 Å, b = 6.2994 Å, c = 6.2994 Å, α = 90.00°, β = 90.00° and γ = 90.00°. Symmetry generates all atoms from Sc at (0.0000, 0.0000, 0.0000), Be at (0.2500, 0.2500, 0.7500), Co at (0.2500, 0.2500, 0.2500) and Pb at (0.0000, 0.0000, 0.5000).

[6]
First-principles (GGA-PBE) data for ScBeCoPb after structural relaxation, as listed in the Open Quantum Materials Database.

The energy relative to the lowest polymorph listed for this composition comes out at 187.4 meV/atom. The value obtained for the magnetization is 0.71 μB/f.u.

It has space group F-43m (No. 216), with a = 6.4287 Å, b = 6.4287 Å, c = 6.4287 Å, α = 90.00°, β = 90.00° and γ = 90.00°. Symmetry generates all atoms from Sc at (0.0000, 0.0000, 0.0000), Be at (0.0000, 0.0000, 0.5000), Co at (0.2500, 0.2500, 0.7500) and Pb at (0.2500, 0.2500, 0.2500).

[7]
First-principles (GGA-PBE) data for ScBeCoPb after structural relaxation, as listed in the Open Quantum Materials Database.

The energy relative to the lowest polymorph listed for this composition comes out at 91.9 meV/atom. The value obtained for the magnetization is 0.17 μB/f.u.

It has space group F-43m (No. 216), with a = 6.3600 Å, b = 6.3600 Å, c = 6.3600 Å, α = 90.00°, β = 90.00° and γ = 90.00°. Symmetry generates all atoms from Sc at (0.0000, 0.0000, 0.0000), Be at (0.2500, 0.2500, 0.2500), Co at (0.0000, 0.0000, 0.5000) and Pb at (0.2500, 0.2500, 0.7500).

[8]
First-principles (GGA-PBE) data for TaBeCoPb after structural relaxation, as listed in the Open Quantum Materials Database.

The energy relative to the lowest polymorph listed for this composition comes out at 0.0 meV/atom. The value obtained for the magnetization is 0.02 μB/f.u.

It has space group F-43m (No. 216), with a = 6.2429 Å, b = 6.2429 Å, c = 6.2429 Å, α = 90.00°, β = 90.00° and γ = 90.00°. Symmetry generates all atoms from Ta at (0.0000, 0.0000, 0.0000), Be at (0.2500, 0.2500, 0.2500), Co at (0.2500, 0.2500, 0.7500) and Pb at (0.0000, 0.0000, 0.5000).

[9]
First-principles (GGA-PBE) data for TaBeCoPb after structural relaxation, as listed in the Open Quantum Materials Database.

The energy relative to the lowest polymorph listed for this composition comes out at 272.7 meV/atom. The value obtained for the magnetization is 0.35 μB/f.u.

It has space group F-43m (No. 216), with a = 6.3141 Å, b = 6.3141 Å, c = 6.3141 Å, α = 90.00°, β = 90.00° and γ = 90.00°. Symmetry generates all atoms from Ta at (0.0000, 0.0000, 0.0000), Be at (0.2500, 0.2500, 0.7500), Co at (0.0000, 0.0000, 0.5000) and Pb at (0.2500, 0.2500, 0.2500).

[10]
First-principles (GGA-PBE) data for BeTlCoPb after structural relaxation, as listed in the Open Quantum Materials Database.

The energy relative to the lowest polymorph listed for this composition comes out at 0.0 meV/atom. The value obtained for the magnetization is 0.95 μB/f.u.

It has space group F-43m (No. 216), with a = 6.6266 Å, b = 6.6266 Å, c = 6.6266 Å, α = 90.00°, β = 90.00° and γ = 90.00°. Symmetry generates all atoms from Be at (0.0000, 0.0000, 0.0000), Tl at (0.2500, 0.2500, 0.7500), Co at (0.0000, 0.0000, 0.5000) and Pb at (0.2500, 0.2500, 0.2500).

[11]
First-principles (GGA-PBE) data for BeCoPbW after structural relaxation, as listed in the Open Quantum Materials Database.

The energy relative to the lowest polymorph listed for this composition comes out at 148.2 meV/atom. The value obtained for the magnetization is 1.88 μB/f.u.

It has space group F-43m (No. 216), with a = 6.2345 Å, b = 6.2345 Å, c = 6.2345 Å, α = 90.00°, β = 90.00° and γ = 90.00°. Symmetry generates all atoms from Be at (0.0000, 0.0000, 0.0000), Co at (0.2500, 0.2500, 0.7500), Pb at (0.0000, 0.0000, 0.5000) and W at (0.2500, 0.2500, 0.2500).

[12]
First-principles (GGA-PBE) data for BeCoPbW after structural relaxation, as listed in the Open Quantum Materials Database.

The energy relative to the lowest polymorph listed for this composition comes out at 0.0 meV/atom. The value obtained for the magnetization is 2.44 μB/f.u.

It has space group F-43m (No. 216), with a = 6.1704 Å, b = 6.1704 Å, c = 6.1704 Å, α = 90.00°, β = 90.00° and γ = 90.00°. Symmetry generates all atoms from Be at (0.0000, 0.0000, 0.0000), Co at (0.0000, 0.0000, 0.5000), Pb at (0.2500, 0.2500, 0.2500) and W at (0.2500, 0.2500, 0.7500).

[13]
First-principles (GGA-PBE) data for BeZnCoPb after structural relaxation, as listed in the Open Quantum Materials Database.

The energy relative to the lowest polymorph listed for this composition comes out at 0.0 meV/atom. The value obtained for the magnetization is 0.00 μB/f.u.

It has space group F-43m (No. 216), with a = 6.1764 Å, b = 6.1764 Å, c = 6.1764 Å, α = 90.00°, β = 90.00° and γ = 90.00°. Symmetry generates all atoms from Be at (0.0000, 0.0000, 0.0000), Zn at (0.2500, 0.2500, 0.2500), Co at (0.0000, 0.0000, 0.5000) and Pb at (0.2500, 0.2500, 0.7500).

[14]
First-principles (GGA-PBE) data for BeZnCoPb after structural relaxation, as listed in the Open Quantum Materials Database.

The energy relative to the lowest polymorph listed for this composition comes out at 113.2 meV/atom. The value obtained for the magnetization is 0.38 μB/f.u.

It has space group F-43m (No. 216), with a = 6.2417 Å, b = 6.2417 Å, c = 6.2417 Å, α = 90.00°, β = 90.00° and γ = 90.00°. Symmetry generates all atoms from Be at (0.0000, 0.0000, 0.0000), Zn at (0.0000, 0.0000, 0.5000), Co at (0.2500, 0.2500, 0.2500) and Pb at (0.2500, 0.2500, 0.7500).

[15]
First-principles (GGA-PBE) data for BeCoPd2 after structural relaxation, as listed in the Open Quantum Materials Database.

For the total energy, the calculation gives -84.0 eV for the cell shown. The value obtained for the magnetization is 1.90 μB/f.u.

It has space group F-43m (No. 216), with a = 5.8849 Å, b = 5.8849 Å, c = 5.8849 Å, α = 90.00°, β = 90.00° and γ = 90.00°. Symmetry generates all atoms from Be at (0.0000, 0.0000, 0.0000), Co at (0.2500, 0.2500, 0.7500), Pd at (0.0000, 0.0000, 0.5000) and Pd at (0.2500, 0.2500, 0.2500).

[16]
First-principles (GGA-PBE) data for BeCo2Pd after structural relaxation, as listed in the Open Quantum Materials Database.

For the total energy, the calculation gives -90.6 eV for the cell shown. The value obtained for the magnetization is 0.02 μB/f.u.

It has space group F-43m (No. 216), with a = 5.6622 Å, b = 5.6622 Å, c = 5.6622 Å, α = 90.00°, β = 90.00° and γ = 90.00°. Symmetry generates all atoms from Be at (0.0000, 0.0000, 0.0000), Co at (0.0000, 0.0000, 0.5000), Co at (0.2500, 0.2500, 0.2500) and Pd at (0.2500, 0.2500, 0.7500).

[17]
First-principles (GGA-PBE) data for Be5CoPd4 after structural relaxation, as listed in the Open Quantum Materials Database.

For the total energy, the calculation gives -52.0 eV for the cell shown. The value obtained for the magnetization is 0.02 μB/f.u.

It has space group P4/mmm (No. 123), with a = 2.7824 Å, b = 2.7824 Å, c = 13.9003 Å, α = 90.00°, β = 90.00° and γ = 90.00°. Symmetry generates all atoms from Be at (0.0000, 0.0000, 0.0000), Be at (0.0000, 0.0000, 0.2078), Be at (0.0000, 0.0000, 0.4179), Co at (0.5000, 0.5000, 0.5000), Pd at (0.5000, 0.5000, 0.1025) and Pd at (0.5000, 0.5000, 0.3073).

[18]
First-principles (GGA-PBE) data for BeCoSnPd after structural relaxation, as listed in the Open Quantum Materials Database.

The energy relative to the lowest polymorph listed for this composition comes out at 0.0 meV/atom. The value obtained for the magnetization is 0.86 μB/f.u.

It has space group F-43m (No. 216), with a = 6.0548 Å, b = 6.0548 Å, c = 6.0548 Å, α = 90.00°, β = 90.00° and γ = 90.00°. Symmetry generates all atoms from Be at (0.0000, 0.0000, 0.0000), Co at (0.2500, 0.2500, 0.7500), Sn at (0.0000, 0.0000, 0.5000) and Pd at (0.2500, 0.2500, 0.2500).

[19]
First-principles (GGA-PBE) data for BeTlCoPd after structural relaxation, as listed in the Open Quantum Materials Database.

The energy relative to the lowest polymorph listed for this composition comes out at 0.0 meV/atom. The value obtained for the magnetization is 0.02 μB/f.u.

It has space group F-43m (No. 216), with a = 6.1344 Å, b = 6.1344 Å, c = 6.1344 Å, α = 90.00°, β = 90.00° and γ = 90.00°. Symmetry generates all atoms from Be at (0.0000, 0.0000, 0.0000), Tl at (0.0000, 0.0000, 0.5000), Co at (0.2500, 0.2500, 0.7500) and Pd at (0.2500, 0.2500, 0.2500).

[20]
First-principles (GGA-PBE) data for PrBeCo after structural relaxation, as listed in the Open Quantum Materials Database.

The energy relative to the lowest polymorph listed for this composition comes out at 695.0 meV/atom. The value obtained for the magnetization is 0.00 μB/f.u.

It has space group F-43m (No. 216), with a = 6.4102 Å, b = 6.4102 Å, c = 6.4102 Å, α = 90.00°, β = 90.00° and γ = 90.00°. Symmetry generates all atoms from Pr at (0.0000, 0.0000, 0.0000), Be at (0.2500, 0.2500, 0.7500) and Co at (0.2500, 0.2500, 0.2500).